[1]
BaSiW | GGA-PBE | optimized geometry

Lattice parameters (Å, degrees): 4.3130 4.3130 5.1811 90.00 90.00 120.00
Space group P-6m2 (No. 187)
One atom of each set of equivalent atoms:
1 Ba 0.0000 0.0000 0.0000 x1
2 Si 0.6667 0.3333 0.5000 x1
3 W 0.3333 0.6667 0.5000 x1

**Energy**: -0.2287 hartree per atom
**D(E_F)**: 2.687 states/eV per cell
**ΔE_f (raw)**: 544 meV per atom



[2]
Y2ScBH | GGA-PBE | optimized geometry

Lattice parameters (Å, degrees): 4.543 4.543 4.267 90.00 90.00 90.00
Space group P4/mmm (No. 123)
One atom of each set of equivalent atoms:
1 Y 0.000 0.500 0.000 x2
2 Sc 0.000 0.000 0.500 x1
3 B 0.500 0.500 0.500 x1
4 H 0.000 0.000 0.000 x1

**Energy**: -0.2072 hartree per atom
**D(E_F)**: 4.145 states/eV per cell



[3]
Ag2WBr | GGA-PBE | optimized geometry

Lattice parameters (Å, degrees): 6.878 6.878 6.878 90.00 90.00 90.00
Space group Fm-3m (No. 225)
One atom of each set of equivalent atoms:
1 Ag 0.250 0.250 0.250 x8
2 W 0.000 0.000 0.000 x4
3 Br 0.000 0.000 0.500 x4

**Energy**: -0.1342 hartree per atom
**D(E_F)**: 15.019 states/eV per cell
**ΔE_f (raw)**: 1430 meV per atom



[4]
Dy2Zn2Ni15 | GGA-PBE | optimized geometry

Lattice parameters (Å, degrees): 8.3170 8.3170 12.2048 90.00 90.00 120.00
Space group R-3m (No. 166, hexagonal axes)
One atom of each set of equivalent atoms:
1 Dy 0.0000 0.0000 0.1537 x6
2 Zn 0.0000 0.0000 0.4001 x6
3 Ni 0.0000 0.2988 0.5000 x18
4 Ni 0.0000 0.5000 0.0000 x9
5 Ni 0.9997 0.4998 0.3453 x18

**Energy**: -0.1994 hartree per atom
**D(E_F)**: 71.443 states/eV per cell



[5]
La2BN | GGA-PBE | optimized geometry

Lattice parameters (Å, degrees): 6.621 6.621 8.340 90.00 90.00 90.00
Space group I-42d (No. 122)
One atom of each set of equivalent atoms:
1 La 0.209 0.250 0.125 x8
2 B 0.000 0.000 0.500 x4
3 N 0.000 0.000 0.000 x4

**Energy**: -0.2390 hartree per atom
**D(E_F)**: 5.862 states/eV per cell
**ΔE_f (raw)**: -290 meV per atom



[6]
CaZrW | GGA-PBE | optimized geometry

Lattice parameters (Å, degrees): 6.745 6.745 6.745 90.00 90.00 90.00
Space group F-43m (No. 216)
One atom of each set of equivalent atoms:
1 Ca 0.000 0.000 0.000 x4
2 Zr 0.000 0.000 0.500 x4
3 W 0.250 0.250 0.250 x4

**Energy**: -0.2436 hartree per atom
**D(E_F)**: 17.742 states/eV per cell